--- w ---
Below is a relaxed YZnCuPd crystal, with properties calculated at the PBE level.

Calculated values
As for the crystal system: cubic. Its magnetization is 0.0004 μB/atom. As for the space group: No. 216.

Unit cell a=4.642 b=4.642 c=4.642 alpha=60.00 beta=60.00 gamma=60.00
Element x y z (fractional)
Y 0.000 0.000 0.000
Zn 0.500 0.500 0.500
Cu 0.750 0.750 0.750
Pd 0.250 0.250 0.250

--- x ---
Below is a relaxed YZnCuPd crystal, with properties calculated at the PBE level.

Calculated values
As for the crystal system: cubic. Its magnetization is 0.0001 μB/atom. As for the space group: No. 216.

Unit cell a=4.654 b=4.654 c=4.654 alpha=60.00 beta=60.00 gamma=60.00
Element x y z (fractional)
Y 0.000 0.000 0.000
Zn 0.250 0.250 0.250
Cu 0.500 0.500 0.500
Pd 0.750 0.750 0.750

What are the relative energies? In kJ/mol of atoms: w 0.0; x 8.9.

--- w ---
Below is a relaxed PmCuPt crystal, with properties calculated at the PBE level.

Calculated values
As for the crystal system: cubic. Its magnetization is 0.0001 μB/atom. As for the space group: No. 216.

Unit cell a=4.607 b=4.607 c=4.607 alpha=60.00 beta=60.00 gamma=60.00
Element x y z (fractional)
Pm 0.000 0.000 0.000
Cu 0.500 0.500 0.500
Pt 0.750 0.750 0.750

--- x ---
Below is a relaxed PmCuPt crystal, with properties calculated at the PBE level.

Calculated values
As for the crystal system: cubic. Its magnetization is 0.0001 μB/atom. As for the space group: No. 216.

Unit cell a=4.676 b=4.676 c=4.676 alpha=60.00 beta=60.00 gamma=60.00
Element x y z (fractional)
Pm 0.000 0.000 0.000
Cu 0.750 0.750 0.750
Pt 0.250 0.250 0.250

What are the relative energies? In kJ/mol of atoms: w 0.0; x 38.1.

--- w ---
Below is a relaxed RbPm2CuTeSe3 crystal, with properties calculated at the PBE level.

Calculated values
As for the crystal system: orthorhombic. Its magnetization is 0.0001 μB/atom. As for the space group: No. 63.

Unit cell a=7.699 b=7.699 c=14.928 alpha=90.00 beta=90.00 gamma=147.70
Element x y z (fractional)
Rb 0.124 0.876 0.750
Rb 0.876 0.124 0.250
Pm 0.366 0.634 0.556
Pm 0.366 0.634 0.944
Pm 0.634 0.366 0.056
Pm 0.634 0.366 0.444
Cu 0.163 0.837 0.250
Cu 0.837 0.163 0.750
Te 0.439 0.561 0.750
Te 0.561 0.439 0.250
Se 0.000 0.000 0.000
Se 0.000 0.000 0.500
Se 0.258 0.742 0.111
Se 0.258 0.742 0.389
Se 0.742 0.258 0.611
Se 0.742 0.258 0.889

--- x ---
Below is a relaxed RbPm2CuTeSe3 crystal, with properties calculated at the PBE level.

Calculated values
As for the crystal system: orthorhombic. Its magnetization is 0.0001 μB/atom. As for the space group: No. 63.

Unit cell a=7.803 b=7.803 c=14.674 alpha=90.00 beta=90.00 gamma=147.95
Element x y z (fractional)
Rb 0.103 0.897 0.750
Rb 0.897 0.103 0.250
Pm 0.356 0.644 0.567
Pm 0.356 0.644 0.933
Pm 0.644 0.356 0.067
Pm 0.644 0.356 0.433
Cu 0.163 0.837 0.250
Cu 0.837 0.163 0.750
Te 0.000 0.000 0.000
Te 0.000 0.000 0.500
Se 0.265 0.735 0.114
Se 0.265 0.735 0.386
Se 0.424 0.576 0.750
Se 0.576 0.424 0.250
Se 0.735 0.265 0.614
Se 0.735 0.265 0.886

What are the relative energies? In kJ/mol of atoms: w 1.4; x 0.0.

--- w ---
Below is a relaxed PmCuSb crystal, with properties calculated at the PBE level.

Calculated values
As for the crystal system: cubic. Its magnetization is 0.0002 μB/atom. As for the space group: No. 216.

Unit cell a=4.963 b=4.963 c=4.963 alpha=60.00 beta=60.00 gamma=60.00
Element x y z (fractional)
Pm 0.000 0.000 0.000
Cu 0.750 0.750 0.750
Sb 0.250 0.250 0.250

--- x ---
Below is a relaxed PmCuSb crystal, with properties calculated at the PBE level.

Calculated values
As for the crystal system: cubic. Its magnetization is 0.0002 μB/atom. As for the space group: No. 216.

Unit cell a=4.642 b=4.642 c=4.642 alpha=60.00 beta=60.00 gamma=60.00
Element x y z (fractional)
Pm 0.000 0.000 0.000
Cu 0.250 0.250 0.250
Sb 0.500 0.500 0.500

What are the relative energies? In kJ/mol of atoms: w 41.7; x 0.0.

--- w ---
Below is a relaxed PmCuTe crystal, with properties calculated at the PBE level.

Calculated values
As for the crystal system: cubic. Its magnetization is 0.0000 μB/atom. As for the space group: No. 216.

Unit cell a=5.040 b=5.040 c=5.040 alpha=60.00 beta=60.00 gamma=60.00
Element x y z (fractional)
Pm 0.000 0.000 0.000
Cu 0.750 0.750 0.750
Te 0.250 0.250 0.250

--- x ---
Below is a relaxed PmCuTe crystal, with properties calculated at the PBE level.

Calculated values
As for the crystal system: cubic. Its magnetization is 0.0004 μB/atom. As for the space group: No. 216.

Unit cell a=4.723 b=4.723 c=4.723 alpha=60.00 beta=60.00 gamma=60.00
Element x y z (fractional)
Pm 0.000 0.000 0.000
Cu 0.250 0.250 0.250
Te 0.500 0.500 0.500

What are the relative energies? In kJ/mol of atoms: w 5.9; x 0.0.

--- w ---
Below is a relaxed PmZnCu crystal, with properties calculated at the PBE level.

Calculated values
As for the crystal system: cubic. Its magnetization is 0.0016 μB/atom. As for the space group: No. 216.

Unit cell a=4.704 b=4.704 c=4.704 alpha=60.00 beta=60.00 gamma=60.00
Element x y z (fractional)
Pm 0.000 0.000 0.000
Zn 0.250 0.250 0.250
Cu 0.750 0.750 0.750

--- x ---
Below is a relaxed PmZnCu crystal, with properties calculated at the PBE level.

Calculated values
As for the crystal system: cubic. Its magnetization is 0.0152 μB/atom. As for the space group: No. 216.

Unit cell a=4.543 b=4.543 c=4.543 alpha=60.00 beta=60.00 gamma=60.00
Element x y z (fractional)
Pm 0.000 0.000 0.000
Zn 0.500 0.500 0.500
Cu 0.250 0.250 0.250

What are the relative energies? In kJ/mol of atoms: w 38.2; x 0.0.

--- w ---
Below is a relaxed RbCuPt crystal, with properties calculated at the PBE level.

Calculated values
As for the crystal system: cubic. Its magnetization is 0.0009 μB/atom. As for the space group: No. 216.

Unit cell a=4.703 b=4.703 c=4.703 alpha=60.00 beta=60.00 gamma=60.00
Element x y z (fractional)
Rb 0.000 0.000 0.000
Cu 0.250 0.250 0.250
Pt 0.500 0.500 0.500

--- x ---
Below is a relaxed RbCuPt crystal, with properties calculated at the PBE level.

Calculated values
As for the crystal system: cubic. Its magnetization is 0.0012 μB/atom. As for the space group: No. 216.

Unit cell a=4.931 b=4.931 c=4.931 alpha=60.00 beta=60.00 gamma=60.00
Element x y z (fractional)
Rb 0.000 0.000 0.000
Cu 0.750 0.750 0.750
Pt 0.250 0.250 0.250

What are the relative energies? In kJ/mol of atoms: w 0.0; x 62.4.

--- w ---
Below is a relaxed RbCuTe3Pt crystal, with properties calculated at the PBE level.

Calculated values
As for the crystal system: orthorhombic. Its magnetization is 0.0006 μB/atom. As for the space group: No. 63.

Unit cell a=8.056 b=8.056 c=11.170 alpha=90.00 beta=90.00 gamma=150.55
Element x y z (fractional)
Rb 0.244 0.756 0.750
Rb 0.756 0.244 0.250
Cu 0.451 0.549 0.250
Cu 0.549 0.451 0.750
Te 0.052 0.948 0.250
Te 0.389 0.611 0.034
Te 0.389 0.611 0.466
Te 0.611 0.389 0.534
Te 0.611 0.389 0.966
Te 0.948 0.052 0.750
Pt 0.000 0.000 0.000
Pt 0.000 0.000 0.500

--- x ---
Below is a relaxed RbCuTe3Pt crystal, with properties calculated at the PBE level.

Calculated values
As for the crystal system: monoclinic. Its magnetization is 0.0001 μB/atom. As for the space group: No. 11.

Unit cell a=8.513 b=4.188 c=10.897 alpha=90.00 beta=110.44 gamma=90.00
Element x y z (fractional)
Rb 0.243 0.250 0.188
Rb 0.757 0.750 0.812
Cu 0.441 0.250 0.926
Cu 0.559 0.750 0.074
Te 0.053 0.750 0.385
Te 0.243 0.750 0.914
Te 0.380 0.250 0.667
Te 0.620 0.750 0.333
Te 0.757 0.250 0.086
Te 0.947 0.250 0.615
Pt 0.164 0.750 0.649
Pt 0.836 0.250 0.351

What are the relative energies? In kJ/mol of atoms: w 5.2; x 0.0.